*1*
! Pm2Ga3Pt PBE optimized geometry; values from VASP
&SYSTEM
  ibrav = 0, nat = 12, ntyp = 3
/
ATOMIC_SPECIES
Pm 145.00 Pm.upf
Ga 69.72 Ga.upf
Pt 195.08 Pt.upf
CELL_PARAMETERS angstrom
5.812 0.656 0.000
0.296 5.841 0.000
-3.054 -3.248 7.731
ATOMIC_POSITIONS angstrom
Pm 2.906 0.328 3.865
Pm 4.368 2.013 0.000
Pm 0.148 2.921 3.865
Pm 1.740 4.484 0.000
Ga 4.585 4.877 1.289
Ga 1.531 1.628 6.442
Ga -1.531 -1.628 6.442
Ga 1.523 1.620 1.289
Ga 0.000 0.000 2.565
Ga 3.054 3.248 5.166
Pt 3.054 3.248 2.597
Pt 0.000 0.000 5.134
! Density of states at the Fermi level (states/eV/f.u.): 3.4



*2*
! Pm2Ga3Pt PBE optimized geometry; values from VASP
&SYSTEM
  ibrav = 0, nat = 6, ntyp = 3
/
ATOMIC_SPECIES
Pm 145.00 Pm.upf
Ga 69.72 Ga.upf
Pt 195.08 Pt.upf
CELL_PARAMETERS angstrom
4.153 0.000 1.739
1.900 5.243 1.291
-0.008 -0.217 5.847
ATOMIC_POSITIONS angstrom
Pm 2.653 0.970 5.322
Pm 3.390 4.106 3.562
Ga 4.658 3.064 6.364
Ga 3.894 1.182 2.359
Ga 2.133 3.832 6.565
Pt 1.410 1.925 2.461
! Density of states at the Fermi level (states/eV/f.u.): 3.5



Most favorable structure: *2*. The second most favorable one is 0.9 kJ/mol of atoms above it.



*1*
! Pm8Ga2Pt PBE optimized geometry; values from VASP
&SYSTEM
  ibrav = 0, nat = 11, ntyp = 3
/
ATOMIC_SPECIES
Pm 145.00 Pm.upf
Ga 69.72 Ga.upf
Pt 195.08 Pt.upf
CELL_PARAMETERS angstrom
5.027 0.000 0.000
0.000 6.810 0.317
-2.513 -2.508 9.174
ATOMIC_POSITIONS angstrom
Pm 0.000 1.630 7.650
Pm 2.513 5.914 3.153
Pm 2.513 3.186 5.522
Pm 2.513 -0.887 8.823
Pm 0.000 1.117 3.969
Pm 0.000 -1.611 6.338
Pm 2.513 2.673 1.840
Pm 0.000 5.190 0.668
Ga 2.513 0.103 5.842
Ga 0.000 4.200 3.649
Pt 2.513 0.000 0.000
! Density of states at the Fermi level (states/eV/f.u.): 10.9



*2*
! Pm8Ga2Pt PBE optimized geometry; values from VASP
&SYSTEM
  ibrav = 0, nat = 11, ntyp = 3
/
ATOMIC_SPECIES
Pt 195.08 Pt.upf
Ga 69.72 Ga.upf
Pm 145.00 Pm.upf
CELL_PARAMETERS angstrom
4.737 0.000 -1.442
-1.286 7.438 -4.225
0.089 -0.020 8.795
ATOMIC_POSITIONS angstrom
Pt 2.368 0.000 -0.721
Ga 0.063 5.158 0.207
Ga 3.477 2.260 2.922
Pm 2.024 6.544 -1.853
Pm 0.949 4.153 3.119
Pm 0.458 0.933 1.504
Pm -0.419 2.424 -1.376
Pm 3.082 6.485 1.625
Pm 2.591 3.265 0.009
Pm 1.516 0.874 4.982
Pm 3.959 4.995 4.505
! Density of states at the Fermi level (states/eV/f.u.): 12.6



Most favorable structure: *1*. The second most favorable one is 9.6 kJ/mol of atoms above it.



*1*
! Pm2GaPt6 PBE optimized geometry; values from VASP
&SYSTEM
  ibrav = 0, nat = 9, ntyp = 3
/
ATOMIC_SPECIES
Pm 145.00 Pm.upf
Ga 69.72 Ga.upf
Pt 195.08 Pt.upf
CELL_PARAMETERS angstrom
5.681 0.000 0.000
-2.840 4.761 1.107
0.000 0.078 6.322
ATOMIC_POSITIONS angstrom
Pm 2.840 1.390 1.228
Pm 0.000 3.449 6.201
Ga 0.000 0.000 0.000
Pt 4.213 1.331 4.641
Pt 2.840 3.668 5.202
Pt 1.468 1.331 4.641
Pt -1.373 3.508 2.789
Pt 0.000 1.171 2.227
Pt 1.373 3.508 2.789
! Density of states at the Fermi level (states/eV/f.u.): 3.3



*2*
! Pm2GaPt6 PBE optimized geometry; values from VASP
&SYSTEM
  ibrav = 0, nat = 9, ntyp = 3
/
ATOMIC_SPECIES
Pm 145.00 Pm.upf
Ga 69.72 Ga.upf
Pt 195.08 Pt.upf
CELL_PARAMETERS angstrom
-0.953 -2.822 0.733
0.909 -2.268 -7.550
6.031 -0.709 5.109
ATOMIC_POSITIONS angstrom
Pm 3.847 -2.639 1.256
Pm 2.140 -3.159 -2.964
Ga 0.000 0.000 0.000
Pt 3.955 -1.932 4.121
Pt 0.192 -3.077 -5.181
Pt 1.364 -2.200 -0.281
Pt 4.481 -1.922 -1.576
Pt 0.322 -0.803 -2.675
Pt 2.137 -0.251 1.810
! Density of states at the Fermi level (states/eV/f.u.): 4.7



Most favorable structure: *1*. The second most favorable one is 39.0 kJ/mol of atoms above it.



*1*
! TbPmGaPt PBE optimized geometry; values from VASP
&SYSTEM
  ibrav = 0, nat = 4, ntyp = 4
/
ATOMIC_SPECIES
Tb 158.93 Tb.upf
Pm 145.00 Pm.upf
Ga 69.72 Ga.upf
Pt 195.08 Pt.upf
CELL_PARAMETERS angstrom
3.901 0.000 0.000
0.000 4.387 0.000
-1.950 0.000 5.596
ATOMIC_POSITIONS angstrom
Tb 0.000 0.000 1.554
Pm 1.950 2.193 3.963
Ga 0.000 0.000 4.785
Pt 1.950 2.193 0.890
! Density of states at the Fermi level (states/eV/f.u.): 3.9



*2*
! TbPmGaPt PBE optimized geometry; values from VASP
&SYSTEM
  ibrav = 0, nat = 4, ntyp = 4
/
ATOMIC_SPECIES
Tb 158.93 Tb.upf
Ga 69.72 Ga.upf
Pt 195.08 Pt.upf
Pm 145.00 Pm.upf
CELL_PARAMETERS angstrom
-0.092 4.976 -1.060
-4.277 2.669 0.688
-0.298 3.400 3.774
ATOMIC_POSITIONS angstrom
Tb 0.000 0.000 0.000
Ga -1.166 2.761 0.850
Pt -3.499 8.283 2.551
Pm -2.333 5.522 1.701
! Density of states at the Fermi level (states/eV/f.u.): 2.9



Most favorable structure: *1*. The second most favorable one is 9.1 kJ/mol of atoms above it.



*1*
! PmTmGaPt PBE optimized geometry; values from VASP
&SYSTEM
  ibrav = 0, nat = 4, ntyp = 4
/
ATOMIC_SPECIES
Tm 168.93 Tm.upf
Ga 69.72 Ga.upf
Pt 195.08 Pt.upf
Pm 145.00 Pm.upf
CELL_PARAMETERS angstrom
-0.158 4.016 -3.045
-3.715 3.377 0.471
0.986 4.593 1.832
ATOMIC_POSITIONS angstrom
Tm -1.443 5.993 -0.371
Ga -0.722 2.997 -0.185
Pt -2.165 8.990 -0.556
Pm 0.000 0.000 0.000
! Density of states at the Fermi level (states/eV/f.u.): 3.0



*2*
! PmTmGaPt PBE optimized geometry; values from VASP
&SYSTEM
  ibrav = 0, nat = 4, ntyp = 4
/
ATOMIC_SPECIES
Pm 145.00 Pm.upf
Tm 168.93 Tm.upf
Ga 69.72 Ga.upf
Pt 195.08 Pt.upf
CELL_PARAMETERS angstrom
-0.354 2.922 -2.438
2.763 -1.961 -2.751
-4.125 -4.047 -1.257
ATOMIC_POSITIONS angstrom
Pm -1.273 -0.765 -0.733
Tm -1.907 -1.390 -4.386
Ga 0.592 0.113 -2.947
Pt -3.606 -2.168 -2.076
! Density of states at the Fermi level (states/eV/f.u.): 3.7



Most favorable structure: *2*. The second most favorable one is 8.2 kJ/mol of atoms above it.



*1*
! PmPuGa2 PBE optimized geometry; values from VASP
&SYSTEM
  ibrav = 0, nat = 4, ntyp = 3
/
ATOMIC_SPECIES
Pm 145.00 Pm.upf
Ga 69.72 Ga.upf
Pu 244.00 Pu.upf
CELL_PARAMETERS angstrom
-3.334 -0.176 -0.149
0.160 -0.215 -3.331
0.416 -8.354 0.560
ATOMIC_POSITIONS angstrom
Pm -1.379 -4.372 -1.460
Ga 0.314 -6.301 0.422
Ga 0.102 -2.053 0.138
Pu -1.587 -0.196 -1.740
! Density of states at the Fermi level (states/eV/f.u.): 8.0



*2*
! PmPuGa2 PBE optimized geometry; values from VASP
&SYSTEM
  ibrav = 0, nat = 4, ntyp = 3
/
ATOMIC_SPECIES
Pm 145.00 Pm.upf
Ga 69.72 Ga.upf
Pu 244.00 Pu.upf
CELL_PARAMETERS angstrom
5.132 0.000 0.000
2.566 4.444 0.000
2.566 1.481 4.190
ATOMIC_POSITIONS angstrom
Pm 5.132 2.963 2.095
Ga 2.566 1.481 1.048
Ga 7.698 4.444 3.143
Pu 0.000 0.000 0.000
! Density of states at the Fermi level (states/eV/f.u.): 8.0



*3*
! PmPuGa2 PBE optimized geometry; values from VASP
&SYSTEM
  ibrav = 0, nat = 16, ntyp = 3
/
ATOMIC_SPECIES
Pm 145.00 Pm.upf
Pu 244.00 Pu.upf
Ga 69.72 Ga.upf
CELL_PARAMETERS angstrom
3.568 0.000 0.000
0.000 7.892 0.000
0.000 0.000 12.983
ATOMIC_POSITIONS angstrom
Pm 2.676 2.742 4.744
Pm 0.892 5.150 8.238
Pm 2.676 6.688 1.747
Pm 0.892 1.204 11.235
Pu 2.676 3.293 0.341
Pu 0.892 4.599 12.642
Pu 2.676 7.239 6.150
Pu 0.892 0.653 6.832
Ga 0.892 0.157 3.963
Ga 2.676 7.735 9.019
Ga 0.892 4.103 2.528
Ga 2.676 3.789 10.454
Ga 0.892 1.411 1.762
Ga 2.676 6.481 11.221
Ga 0.892 5.357 4.730
Ga 2.676 2.535 8.253
! Density of states at the Fermi level (states/eV/f.u.): 4.5



Most favorable structure: *1*. The second most favorable one is 0.6 kJ/mol of atoms above it.



*1*
! Pm3Ga4Rh4 PBE optimized geometry; values from VASP
&SYSTEM
  ibrav = 0, nat = 11, ntyp = 3
/
ATOMIC_SPECIES
Pm 145.00 Pm.upf
Ga 69.72 Ga.upf
Rh 102.91 Rh.upf
CELL_PARAMETERS angstrom
-2.000 -0.579 -3.861
1.210 -3.829 -0.053
-10.925 -5.601 3.981
ATOMIC_POSITIONS angstrom
Pm -8.785 -4.881 0.286
Pm -2.930 -5.128 -0.218
Pm -2.000 -0.579 -3.861
Ga -10.252 -7.461 1.420
Ga -1.464 -2.548 -1.352
Ga -5.536 -3.827 -1.553
Ga -6.178 -6.182 1.621
Rh -8.274 -6.861 2.798
Rh -5.596 -3.882 0.977
Rh -6.119 -6.126 -0.910
Rh -3.441 -3.147 -2.730
! Density of states at the Fermi level (states/eV/f.u.): 7.7



*2*
! Pm3Ga4Rh4 PBE optimized geometry; values from VASP
&SYSTEM
  ibrav = 0, nat = 11, ntyp = 3
/
ATOMIC_SPECIES
Pm 145.00 Pm.upf
Ga 69.72 Ga.upf
Rh 102.91 Rh.upf
CELL_PARAMETERS angstrom
6.643 0.000 0.000
-2.214 6.263 0.000
-2.214 -3.132 5.424
ATOMIC_POSITIONS angstrom
Pm 2.214 3.132 0.000
Pm 2.214 -1.566 2.712
Pm -2.214 1.566 2.712
Ga -0.569 1.610 0.000
Ga -0.569 -0.805 1.394
Ga 1.708 0.000 0.000
Ga 1.645 2.327 4.030
Rh -1.365 3.860 0.000
Rh 4.095 0.000 0.000
Rh -1.365 -1.930 3.343
Rh 0.849 1.201 2.081
! Density of states at the Fermi level (states/eV/f.u.): 6.3



Most favorable structure: *1*. The second most favorable one is 10.9 kJ/mol of atoms above it.



*1*
! Pm3Ga2Rh4 PBE optimized geometry; values from VASP
&SYSTEM
  ibrav = 0, nat = 9, ntyp = 3
/
ATOMIC_SPECIES
Pm 145.00 Pm.upf
Ga 69.72 Ga.upf
Rh 102.91 Rh.upf
CELL_PARAMETERS angstrom
4.183 0.000 0.000
-2.091 5.526 -0.392
0.000 -2.812 8.209
ATOMIC_POSITIONS angstrom
Pm 2.091 -0.526 5.654
Pm 0.000 0.000 0.000
Pm 0.000 3.240 2.162
Ga 2.091 0.911 2.565
Ga 0.000 1.802 5.251
Rh 2.091 2.137 0.390
Rh 0.000 0.576 7.426
Rh 2.091 2.861 4.340
Rh 0.000 -0.148 3.477
! Density of states at the Fermi level (states/eV/f.u.): 4.4



*2*
! Pm3Ga2Rh4 PBE optimized geometry; values from VASP
&SYSTEM
  ibrav = 0, nat = 9, ntyp = 3
/
ATOMIC_SPECIES
Pm 145.00 Pm.upf
Ga 69.72 Ga.upf
Rh 102.91 Rh.upf
CELL_PARAMETERS angstrom
-0.684 -1.649 -3.812
5.384 0.743 1.036
-0.692 -7.898 3.541
ATOMIC_POSITIONS angstrom
Pm 3.393 -4.950 1.533
Pm 0.000 0.000 0.000
Pm 0.615 -3.853 -0.767
Ga 3.064 -1.754 0.209
Ga 0.943 -7.050 0.557
Rh 1.757 -1.558 -1.965
Rh 0.495 -5.036 2.090
Rh 3.512 -3.767 -1.324
Rh 2.251 -7.246 2.731
! Density of states at the Fermi level (states/eV/f.u.): 5.0



Most favorable structure: *2*. The second most favorable one is 4.2 kJ/mol of atoms above it.



*1*
! Pm8Ga2Rh PBE optimized geometry; values from VASP
&SYSTEM
  ibrav = 0, nat = 11, ntyp = 3
/
ATOMIC_SPECIES
Pm 145.00 Pm.upf
Ga 69.72 Ga.upf
Rh 102.91 Rh.upf
CELL_PARAMETERS angstrom
-3.949 -1.765 2.621
4.209 -1.989 5.002
-0.036 9.488 1.455
ATOMIC_POSITIONS angstrom
Pm 0.647 5.949 4.981
Pm 1.512 -0.198 7.024
Pm -0.249 2.775 6.373
Pm -2.956 6.890 5.066
Pm 0.473 2.959 2.705
Pm -1.288 5.931 2.054
Pm -0.423 -0.215 4.097
Pm 3.180 -1.156 4.012
Ga -2.174 3.964 4.273
Ga 2.398 1.770 4.805
Rh -1.974 -0.882 1.311
! Density of states at the Fermi level (states/eV/f.u.): 10.2



*2*
! Pm8Ga2Rh PBE optimized geometry; values from VASP
&SYSTEM
  ibrav = 0, nat = 11, ntyp = 3
/
ATOMIC_SPECIES
Rh 102.91 Rh.upf
Ga 69.72 Ga.upf
Pm 145.00 Pm.upf
CELL_PARAMETERS angstrom
-4.268 -2.274 2.370
4.113 -5.009 2.601
1.373 8.179 4.203
ATOMIC_POSITIONS angstrom
Rh -2.134 -1.137 1.185
Ga 2.534 -0.831 3.767
Ga -1.316 1.728 5.407
Pm 1.227 -3.640 4.836
Pm 1.927 2.180 5.562
Pm 0.511 1.791 2.640
Pm 1.039 -1.266 0.658
Pm 0.707 -0.895 6.534
Pm -0.708 -1.283 3.612
Pm -0.009 4.537 4.338
Pm 0.179 2.163 8.517
! Density of states at the Fermi level (states/eV/f.u.): 11.8



Most favorable structure: *1*. The second most favorable one is 5.6 kJ/mol of atoms above it.



*1*
! PmGa2Rh2 PBE optimized geometry; values from VASP
&SYSTEM
  ibrav = 0, nat = 10, ntyp = 3
/
ATOMIC_SPECIES
Pm 145.00 Pm.upf
Ga 69.72 Ga.upf
Rh 102.91 Rh.upf
CELL_PARAMETERS angstrom
4.313 0.000 0.000
0.000 4.313 0.000
0.000 0.000 10.013
ATOMIC_POSITIONS angstrom
Pm 2.157 0.000 2.390
Pm 0.000 2.157 7.622
Ga 2.157 2.157 5.006
Ga 0.000 0.000 5.006
Ga 0.000 2.157 1.260
Ga 2.157 0.000 8.752
Rh 0.000 2.157 3.728
Rh 2.157 0.000 6.285
Rh 2.157 2.157 0.000
Rh 0.000 0.000 0.000
! Density of states at the Fermi level (states/eV/f.u.): 3.9



*2*
! PmGa2Rh2 PBE optimized geometry; values from VASP
&SYSTEM
  ibrav = 0, nat = 5, ntyp = 3
/
ATOMIC_SPECIES
Pm 145.00 Pm.upf
Ga 69.72 Ga.upf
Rh 102.91 Rh.upf
CELL_PARAMETERS angstrom
-2.245 3.485 1.071
-1.804 -2.155 3.230
5.757 0.798 0.912
ATOMIC_POSITIONS angstrom
Pm 0.000 0.000 0.000
Ga -1.076 1.037 2.928
Ga 2.785 1.092 2.284
Rh 0.744 2.474 2.066
Rh 0.964 -0.346 3.146
! Density of states at the Fermi level (states/eV/f.u.): 2.4



Most favorable structure: *2*. The second most favorable one is 0.5 kJ/mol of atoms above it.



*1*
! Pm6Ga2Rh PBE optimized geometry; values from VASP
&SYSTEM
  ibrav = 0, nat = 9, ntyp = 3
/
ATOMIC_SPECIES
Pm 145.00 Pm.upf
Ga 69.72 Ga.upf
Rh 102.91 Rh.upf
CELL_PARAMETERS angstrom
-3.666 -0.263 3.385
-1.124 -6.897 -1.752
7.360 1.446 4.395
ATOMIC_POSITIONS angstrom
Pm 1.328 -2.373 1.252
Pm 1.818 0.187 5.672
Pm 1.243 -3.340 4.776
Pm -2.105 -1.798 1.269
Pm 0.753 -5.900 0.356
Pm -2.685 -5.361 0.364
Ga -0.738 -4.291 2.552
Ga 3.309 -1.422 3.476
Rh 0.000 0.000 0.000
! Density of states at the Fermi level (states/eV/f.u.): 11.8



*2*
! Pm6Ga2Rh PBE optimized geometry; values from VASP
&SYSTEM
  ibrav = 0, nat = 9, ntyp = 3
/
ATOMIC_SPECIES
Pm 145.00 Pm.upf
Ga 69.72 Ga.upf
Rh 102.91 Rh.upf
CELL_PARAMETERS angstrom
3.868 0.000 0.000
0.000 7.612 -3.959
0.000 -0.377 8.572
ATOMIC_POSITIONS angstrom
Pm 1.934 2.919 1.861
Pm 1.934 4.541 -2.361
Pm 1.934 -0.225 5.113
Pm 0.000 5.426 3.459
Pm 0.000 1.527 7.582
Pm 0.000 7.518 -1.815
Ga 0.000 4.949 0.218
Ga 0.000 2.286 4.395
Rh 1.934 0.000 0.000
! Density of states at the Fermi level (states/eV/f.u.): 12.2



Most favorable structure: *2*. The second most favorable one is 11.5 kJ/mol of atoms above it.